Density functional theory data (GGA-PBE) for crystalline Th2CoTe at its relaxed geometry.

The total moment is 0.000 μB/atom. Its excess energy over the best structure of this formula in the dataset is 0.00 kcal/mol of atoms. The calculation puts the formation energy from raw total energies at -0.753 eV/atom.

Lattice parameters (Å, degrees): 8.007 8.007 8.007 29.56 29.56 29.56
Positions (direct):
Th 0.231 0.231 0.231
Th 0.769 0.769 0.769
Co 0.500 0.500 0.500
Te 0.000 0.000 0.000